(1)
# LiCaSmPt

An optimized crystal structure of LiCaSmPt (GGA-PBE, Alexandria).

Summary:
V	22.75	Å³ per atom
energy relative to the elements	-218	kJ/mol of formula units

Lattice parameters (Å, degrees): 7.1396 7.1396 7.1396 90.00 90.00 90.00
With the nearest neighbours (Å) after each atom.
Space group F-43m (No. 216)
Unique sites:
Li1 0.0000 0.0000 0.0000 x4  4 Ca 3.09, 4 Sm 3.09
Ca1 0.2500 0.2500 0.7500 x4  4 Li 3.09, 4 Pt 3.09
Sm1 0.2500 0.2500 0.2500 x4  4 Pt 3.09, 4 Li 3.09
Pt1 0.0000 0.0000 0.5000 x4  4 Ca 3.09, 4 Sm 3.09

(2)
# Pr3Si2ClO8

An optimized crystal structure of Pr3Si2ClO8 (GGA-PBE, Alexandria).

Summary:
V	14.67	Å³ per atom
formation energy (no corrections)	-4241	kJ/mol of formula units

Lattice parameters (Å, degrees): 14.3547 6.5083 8.8832 90.00 98.05 90.00
With the nearest neighbours (Å) after each atom.
Space group C2/c (No. 15)
Unique sites:
Pr1 0.0000 0.0722 0.2500 x4  8 O 2.55-2.67
Pr2 0.1858 0.3940 0.6728 x8  7 O 2.46-2.74
Si1 0.1582 0.0546 0.0263 x8  4 O 1.63-1.66
Cl1 0.0000 0.4795 0.7500 x4  3 Pr 2.90-2.92, 2 O 3.02
O1 0.0775 0.1248 0.5352 x8  1 Si 1.65
O2 0.1455 0.2382 0.1468 x8  1 Si 1.63
O3 0.1534 0.1134 0.8465 x8  1 Si 1.64
O4 0.2387 0.4423 0.4197 x8  1 Si 1.66

| no. | DFT total energy (eV/atom) |
| --- | --- |
| 1 | -4.234 |
| 2 | -7.904 |